This record from Alexandria describes a relaxed structure of PrBi5Pd3. The functional is PBE-GGA.

Results
For the formation energy from the elements, the calculation gives -0.26 eV/atom. The value obtained for the total energy is -84.23 eV/cell. The space group is C2/m (12). For the density of states at the Fermi level, the calculation gives 0.50 states/eV per atom. The calculation puts the total magnetization at 0.00 μB per formula unit.

Unit cell a=7.202 b=7.202 c=10.486 alpha=102.25 beta=102.25 gamma=73.29
Atoms (fractional coordinates):
Pr1 0.134 0.134 0.293
Pr2 0.866 0.866 0.707
Bi1 0.067 0.643 0.321
Bi2 0.236 0.236 0.005
Bi3 0.312 0.688 0.000
Bi4 0.357 0.933 0.679
Bi5 0.369 0.369 0.548
Bi6 0.631 0.631 0.452
Bi7 0.643 0.067 0.321
Bi8 0.688 0.312 0.000
Bi9 0.764 0.764 0.995
Bi10 0.933 0.357 0.679
Pd1 0.000 0.000 0.000
Pd2 0.000 0.000 0.500
Pd3 0.336 0.336 0.798
Pd4 0.426 0.426 0.229
Pd5 0.574 0.574 0.771
Pd6 0.664 0.664 0.202